[1]
{"formula": "La2PrMg3Ni2Au", "functional": "PBE", "state": "relaxed", "lattice": [[4.0881, 0.0000, 0.0000], [0.0000, 6.6808, 3.8060], [0.0000, -6.6808, 3.8060]], "species": ["Pr", "Mg", "Ni", "Au", "La", "Mg", "La", "Mg", "Ni"], "fractional_positions": [[0.0000, 0.5789, 0.5789], [0.5000, 0.7568, 0.9980], [0.5000, 0.6668, 0.3297], [0.0000, 0.9999, 0.9999], [0.0000, 0.4241, 0.0002], [0.5000, 0.2457, 0.2457], [0.0000, 0.0002, 0.4241], [0.5000, 0.9980, 0.7568], [0.5000, 0.3297, 0.6668]], "spacegroup": "Amm2 (38)", "mass_density_g_cm3": 6.4, "total_magnetization_mub_per_cell": 0.0, "e_tot_ev_per_cell": -37.34}

[2]
{"formula": "DyZr", "functional": "PBE", "state": "relaxed", "lattice": [[-2.7738, -1.9382, -0.1323], [1.9164, 0.4043, -2.7626], [2.9433, -4.3086, 1.4112]], "species": ["Zr", "Dy"], "fractional_positions": [[0.6667, 0.3333, 0.5000], [0.0000, 0.0000, 0.0000]], "spacegroup": "P-6m2 (187)", "mass_density_g_cm3": 7.8, "e_form_ev_per_atom": 0.104, "total_magnetization_mub_per_cell": 0.0}

[3]
{"formula": "DyBOs", "functional": "PBE", "state": "relaxed", "lattice": [[0.0000, 2.8936, 2.8936], [2.8936, 0.0000, 2.8936], [2.8936, 2.8936, 0.0000]], "species": ["Os", "Dy", "B"], "fractional_positions": [[0.7500, 0.7500, 0.7500], [0.2500, 0.2500, 0.2500], [0.0000, 0.0000, 0.0000]], "spacegroup": "F-43m (216)", "mass_density_g_cm3": 12.5, "total_magnetization_mub_per_cell": 0.0, "e_tot_ev_per_cell": -21.96}

[4]
{"formula": "BaTl2Fe", "functional": "PBE", "state": "relaxed", "lattice": [[0.0000, 3.8170, 3.8170], [3.8170, 0.0000, 3.8170], [3.8170, 3.8170, 0.0000]], "species": ["Fe", "Tl", "Ba", "Tl"], "fractional_positions": [[0.2500, 0.2500, 0.2500], [0.7500, 0.7500, 0.7500], [0.5000, 0.5000, 0.5000], [0.0000, 0.0000, 0.0000]], "spacegroup": "F-43m (216)", "mass_density_g_cm3": 9.0, "total_magnetization_mub_per_cell": 3.0, "e_tot_ev_per_cell": -13.34}

[5]
{"formula": "TaO2", "functional": "PBE", "state": "relaxed", "lattice": [[3.0982, 1.7887, 5.0593], [-3.0982, 1.7887, 5.0593], [0.0000, -3.5775, 5.0593]], "species": ["O", "Ta", "O", "O", "O", "Ta"], "fractional_positions": [[0.3750, 0.8750, 0.3750], [0.5000, 0.5000, 0.5000], [0.8750, 0.3750, 0.3750], [0.3750, 0.3750, 0.3750], [0.3750, 0.3750, 0.8750], [0.2500, 0.2500, 0.2500]], "spacegroup": "Fd-3m (227)", "mass_density_g_cm3": 4.2, "total_magnetization_mub_per_cell": 0.8, "e_tot_ev_per_cell": -56.98}

[6]
{"formula": "Lu2HgOs", "functional": "PBE", "state": "relaxed", "lattice": [[-4.4749, 1.0215, 1.5475], [-2.8688, 2.8903, -2.6228], [-3.8400, -1.8446, -2.3054]], "species": ["Os", "Hg", "Lu", "Lu"], "fractional_positions": [[0.7500, 0.7500, 0.7500], [0.5000, 0.5000, 0.5000], [0.2500, 0.2500, 0.2500], [0.0000, 0.0000, 0.0000]], "spacegroup": "F-43m (216)", "mass_density_g_cm3": 15.3, "e_form_ev_per_atom": 0.073, "total_magnetization_mub_per_cell": 0.0}

[7]
{"formula": "AgSb", "functional": "PBE", "state": "relaxed", "lattice": [[5.6912, 0.0000, 0.0000], [0.0000, 4.2198, 0.0000], [0.0000, 0.0000, 7.6104]], "species": ["Sb", "Sb", "Ag", "Sb", "Ag", "Ag", "Sb", "Ag"], "fractional_positions": [[0.2500, 0.5000, 0.9450], [0.2500, 0.0000, 0.2812], [0.7500, 0.0000, 0.3017], [0.7500, 0.0000, 0.7188], [0.0000, 0.5000, 0.5000], [0.2500, 0.0000, 0.6983], [0.7500, 0.5000, 0.0550], [0.5000, 0.5000, 0.5000]], "spacegroup": "Pmma (51)", "mass_density_g_cm3": 8.3, "e_tot_ev_per_cell": -27.09}

[8]
{"formula": "RbCd", "functional": "PBE", "state": "relaxed", "lattice": [[0.0000, 3.7507, 3.7507], [3.7507, 0.0000, 3.7507], [3.7507, 3.7507, 0.0000]], "species": ["Rb", "Cd"], "fractional_positions": [[0.5000, 0.5000, 0.5000], [0.0000, 0.0000, 0.0000]], "spacegroup": "Fm-3m (225)", "mass_density_g_cm3": 3.1, "e_tot_ev_per_cell": -1.61}